The following is a PBE calculation of crystalline DyYTl6 at its relaxed geometry, from Alexandria via LeMat-Bulk.

For the formation energy, the calculation gives -242.9 meV per atom. The density of states at the Fermi level comes out at 1.947 states/eV per cell. As for the crystal system: tetragonal. The size of the total moment comes out at 0.00 μB per atom.

The space group is P4/mmm (No. 123) and the conventional cell measures 4.769, 4.769 and 9.538 Å, with angles of 90.00, 90.00 and 90.00 degrees. The distinct sites, in fractional coordinates, are Dy at (0.000, 0.000, 0.000), Y at (0.000, 0.000, 0.500), Tl at (0.000, 0.500, 0.249), Tl at (0.500, 0.500, 0.000) and Tl at (0.500, 0.500, 0.500).

The following is a PBE calculation of crystalline CeMgAlAu at its relaxed geometry, from Alexandria via LeMat-Bulk.

For the formation energy, the calculation gives -439.4 meV per atom. The density of states at the Fermi level comes out at 21.692 states/eV per cell. As for the crystal system: cubic. The size of the total moment comes out at 0.14 μB per atom.

The space group is F-43m (No. 216) and the conventional cell measures 7.050, 7.050 and 7.050 Å, with angles of 90.00, 90.00 and 90.00 degrees. The distinct sites, in fractional coordinates, are Ce at (0.000, 0.000, 0.000), Mg at (0.000, 0.000, 0.500), Al at (0.250, 0.250, 0.750) and Au at (0.250, 0.250, 0.250).

The following is a PBE calculation of crystalline Zr2SbCl at its relaxed geometry, from Alexandria via LeMat-Bulk.

The density of states at the Fermi level comes out at 10.072 states/eV per cell. As for the crystal system: trigonal. The size of the total moment comes out at 0.00 μB per atom. The calculation puts the energy above the most stable polymorph in this dataset at 0.00 eV per formula unit.

The space group is R3m (No. 160, hexagonal axes) and the conventional cell measures 3.3681, 3.3681 and 32.4506 Å, with angles of 90.00, 90.00 and 120.00 degrees. The distinct sites, in fractional coordinates, are Zr at (0.0000, 0.0000, 0.0000), Zr at (0.0000, 0.0000, 0.2576), Sb at (0.0000, 0.0000, 0.7428) and Cl at (0.0000, 0.0000, 0.5361).

The following is a PBE calculation of crystalline Na5Al2S6 at its relaxed geometry, from Alexandria via LeMat-Bulk.

The density of states at the Fermi level comes out at 1.391 states/eV per cell. As for the crystal system: monoclinic. The size of the total moment comes out at 0.08 μB per atom. The calculation puts the raw total energy at -4.074 eV/atom.

The space group is C2/c (No. 15) and the conventional cell measures 12.017, 7.355 and 14.699 Å, with angles of 90.00, 108.07 and 90.00 degrees. The distinct sites, in fractional coordinates, are Na at (0.000, 0.139, 0.250), Na at (0.038, 0.247, 0.000), Na at (0.166, 0.337, 0.740), Al at (0.232, 0.379, 0.423), S at (0.047, 0.481, 0.360), S at (0.136, 0.013, 0.640) and S at (0.231, 0.065, 0.418).

The following is a PBE calculation of crystalline Pm4SmDy2Sc at its relaxed geometry, from Alexandria via LeMat-Bulk.

For the formation energy, the calculation gives 33.0 meV per atom. The density of states at the Fermi level comes out at 11.032 states/eV per cell. As for the crystal system: monoclinic. The size of the total moment comes out at 0.00 μB per atom.

The space group is P2/m (No. 10) and the conventional cell measures 6.183, 3.593 and 11.777 Å, with angles of 90.00, 100.29 and 90.00 degrees. The distinct sites, in fractional coordinates, are Pm at (0.245, 0.000, 0.243), Pm at (0.250, 0.500, 0.754), Sm at (0.000, 0.000, 0.500), Dy at (0.500, 0.000, 0.000), Dy at (0.500, 0.500, 0.500) and Sc at (0.000, 0.500, 0.000).

The following is a PBE calculation of crystalline Dy2HoScBi5 at its relaxed geometry, from Alexandria via LeMat-Bulk.

For the formation energy, the calculation gives 65.9 meV per atom. The density of states at the Fermi level comes out at 6.964 states/eV per cell. As for the crystal system: tetragonal. The size of the total moment comes out at 0.00 μB per atom.

The space group is P4/mmm (No. 123) and the conventional cell measures 5.451, 5.451 and 11.462 Å, with angles of 90.00, 90.00 and 90.00 degrees. The distinct sites, in fractional coordinates, are Dy at (0.000, 0.000, 0.223), Ho at (0.500, 0.500, 0.000), Sc at (0.500, 0.500, 0.500), Bi at (0.000, 0.000, 0.500), Bi at (0.000, 0.500, 0.000) and Bi at (0.500, 0.500, 0.260).

The following is a PBE calculation of crystalline ZrIn3 at its relaxed geometry, from Alexandria via LeMat-Bulk.

For the formation energy, the calculation gives -111.1 meV per atom. The density of states at the Fermi level comes out at 2.000 states/eV per cell. As for the crystal system: monoclinic. The size of the total moment comes out at 0.00 μB per atom.

The space group is P2/m (No. 10) and the conventional cell measures 3.051, 5.307 and 5.810 Å, with angles of 90.00, 90.00 and 90.00 degrees. The distinct sites, in fractional coordinates, are Zr at (0.000, 0.000, 0.000), In at (0.492, 0.500, 0.759) and In at (0.500, 0.000, 0.500).

The following is a PBE calculation of crystalline YSc2Fe at its relaxed geometry, from Alexandria via LeMat-Bulk.

For the formation energy, the calculation gives 258.2 meV per atom. The density of states at the Fermi level comes out at 11.794 states/eV per cell. As for the crystal system: tetragonal. The size of the total moment comes out at 0.31 μB per atom. The calculation puts the energy above the most stable polymorph in this dataset at 1.23 eV per formula unit.

The space group is I4/mmm (No. 139) and the conventional cell measures 4.293, 4.293 and 9.596 Å, with angles of 90.00, 90.00 and 90.00 degrees. The distinct sites, in fractional coordinates, are Y at (0.000, 0.000, 0.000), Sc at (0.000, 0.500, 0.250) and Fe at (0.000, 0.000, 0.500).

The following is a PBE calculation of crystalline TaAlMoIr at its relaxed geometry, from Alexandria via LeMat-Bulk.

For the formation energy, the calculation gives -450.5 meV per atom. The density of states at the Fermi level comes out at 15.207 states/eV per cell. As for the crystal system: cubic. The size of the total moment comes out at 0.00 μB per atom.

The space group is F-43m (No. 216) and the conventional cell measures 6.295, 6.295 and 6.295 Å, with angles of 90.00, 90.00 and 90.00 degrees. The distinct sites, in fractional coordinates, are Ta at (0.000, 0.000, 0.000), Al at (0.000, 0.000, 0.500), Mo at (0.250, 0.250, 0.250) and Ir at (0.250, 0.250, 0.750).

The following is a PBE calculation of crystalline KBeBRu2 at its relaxed geometry, from Alexandria via LeMat-Bulk.

For the formation energy, the calculation gives 3468.2 meV per atom. The density of states at the Fermi level comes out at 5.427 states/eV per cell. As for the crystal system: tetragonal. The size of the total moment comes out at 0.00 μB per atom.

The space group is P4/mmm (No. 123) and the conventional cell measures 4.551, 4.551 and 4.012 Å, with angles of 90.00, 90.00 and 90.00 degrees. The distinct sites, in fractional coordinates, are K at (0.000, 0.000, 0.000), Be at (0.000, 0.000, 0.500), B at (0.500, 0.500, 0.500) and Ru at (0.000, 0.500, 0.000).

The following is a PBE calculation of crystalline Th8BiSb4As3 at its relaxed geometry, from Alexandria via LeMat-Bulk.

The density of states at the Fermi level comes out at 27.271 states/eV per cell. As for the crystal system: trigonal. The size of the total moment comes out at 0.00 μB per atom. The calculation puts the raw total energy at -6.884 eV/atom.

The space group is R-3m (No. 166, hexagonal axes) and the conventional cell measures 8.8367, 8.8367 and 21.7553 Å, with angles of 90.00, 90.00 and 120.00 degrees. The distinct sites, in fractional coordinates, are Th at (0.0000, 0.0000, 0.2418), Th at (0.0163, 0.5081, 0.7552), Bi at (0.0000, 0.0000, 0.5000), Sb at (0.0000, 0.0000, 0.0000), Sb at (0.0000, 0.5000, 0.0000) and As at (0.0000, 0.5000, 0.5000).

The following is a PBE calculation of crystalline LiTm2Tl6 at its relaxed geometry, from Alexandria via LeMat-Bulk.

For the formation energy, the calculation gives -74.9 meV per atom. The density of states at the Fermi level comes out at 10.361 states/eV per cell. As for the crystal system: orthorhombic. The size of the total moment comes out at 0.00 μB per atom.

The space group is Cmmm (No. 65) and the conventional cell measures 8.304, 16.727 and 3.546 Å, with angles of 90.00, 90.00 and 90.00 degrees. The distinct sites, in fractional coordinates, are Li at (0.000, 0.000, 0.000), Tm at (0.000, 0.305, 0.500), Tl at (0.186, 0.157, 0.000) and Tl at (0.189, 0.500, 0.500).

Please write out number 7 again, unchanged.
The following is a PBE calculation of crystalline ZrIn3 at its relaxed geometry, from Alexandria via LeMat-Bulk.

For the formation energy, the calculation gives -111.1 meV per atom. The density of states at the Fermi level comes out at 2.000 states/eV per cell. As for the crystal system: monoclinic. The size of the total moment comes out at 0.00 μB per atom.

The space group is P2/m (No. 10) and the conventional cell measures 3.051, 5.307 and 5.810 Å, with angles of 90.00, 90.00 and 90.00 degrees. The distinct sites, in fractional coordinates, are Zr at (0.000, 0.000, 0.000), In at (0.492, 0.500, 0.759) and In at (0.500, 0.000, 0.500).

> Among the records above, which one has the highest size of the total moment?

YSc2Fe